# LiLaSi4 (GGA-PBE, optimized geometry)
data_LiLaSi4
_chemical_formula_sum 'Li1 La1 Si4'
_space_group_name_H-M_alt 'P 1'
_space_group_IT_number 1
_cell_length_a 5.324
_cell_length_b 5.324
_cell_length_c 5.324
_cell_angle_alpha 60.00
_cell_angle_beta 60.00
_cell_angle_gamma 60.00
loop_
_space_group_symop_operation_xyz
'x,y,z'
loop_
_atom_site_label
_atom_site_type_symbol
_atom_site_fract_x
_atom_site_fract_y
_atom_site_fract_z
_atom_site_occupancy
Li1 Li 0.000 0.000 0.000 1
La1 La 0.250 0.250 0.250 1
Si1 Si 0.116 0.628 0.628 1
Si2 Si 0.628 0.116 0.628 1
Si3 Si 0.628 0.628 0.116 1
Si4 Si 0.628 0.628 0.628 1
# - uncorrected formation energy (meV/atom) = -221
# - M_tot (Bohr magnetons per cell) = 0.0
# - final energy (eV per cell) = -29.86
# - DOS at the Fermi energy (states/eV per atom) = 0.420